(1)
## YTaCu (PBE-GGA)

Data for a geometry-optimized YTaCu structure.

Unit cell a=3.212 b=3.212 c=6.841 alpha=90.00 beta=90.00 gamma=120.00
Fractional positions:
Cu1 0.000 0.000 0.023
Ta1 0.667 0.333 0.304
Y1 0.333 0.667 0.673

Values from the calculation:
ΔH_f (0 K): 0.404 eV per atom

(2)
## Y2TaCu (PBE-GGA)

Data for a geometry-optimized Y2TaCu structure.

Unit cell a=5.058 b=5.058 c=5.058 alpha=60.00 beta=60.00 gamma=60.00
Fractional positions:
Y1 0.250 0.250 0.250
Y2 0.750 0.750 0.750
Cu1 0.000 0.000 0.000
Ta1 0.500 0.500 0.500

Values from the calculation:
ΔH_f (0 K): 0.365 eV per atom

(3)
## Y2TaCu (PBE-GGA)

Data for a geometry-optimized Y2TaCu structure.

Unit cell a=6.207 b=6.207 c=6.207 alpha=149.07 beta=131.91 gamma=58.29
Fractional positions:
Cu1 0.478 0.478 0.000
Ta1 0.293 0.793 0.500
Y1 0.012 0.012 0.000
Y2 0.717 0.217 0.500

Values from the calculation:
ΔH_f (0 K): 0.151 eV per atom

Taking the records one at a time from the top gives energy values of -21.2, -27.4, -28.3 eV per cell.